LaTb2Sm2Er PBE-GGA optimized geometry; N(E_F) = 17.750 states/eV per cell; ΔH_f (0 K) = 0.151 eV/atom; space-group type = Pnnm; VASP energy = -54.57 eV for the cell shown
1.0
6.968 0.000 0.000
0.000 16.406 0.000
0.000 0.000 3.532
La Tb Sm Er
2 4 4 2
Cartesian
0.000 0.000 0.000
3.484 8.203 1.766
1.738 5.654 0.000
1.746 13.857 1.766
5.222 2.549 1.766
5.230 10.753 0.000
1.726 10.808 0.000
1.758 2.605 1.766
5.210 13.801 1.766
5.242 5.598 0.000
0.000 8.203 1.766
3.484 0.000 0.000